(1)
Computed, not measured: a geometry-optimized La2PuCd structure at the GGA-PBE level of DFT.

Cell: 3.6689 5.7347 5.7347 Å, 90.00 90.00 90.00°
With the nearest neighbours (Å) after each atom.
Sites, in units of the cell vectors:
La 0.0000 0.5000 0.0000  4 Cd 3.40, 4 Pu 3.40, 2 La 3.67
Pu 0.5000 0.0000 0.0000  8 La 3.40, 2 Pu 3.67
La 0.0000 0.0000 0.5000  4 Cd 3.40, 4 Pu 3.40, 2 La 3.67
Cd 0.5000 0.5000 0.5000  8 La 3.40, 2 Cd 3.67

Summary:
For the formation energy, the calculation gives -0.069 eV per atom.

(2)
Computed, not measured: a geometry-optimized BaTeIr2 structure at the GGA-PBE level of DFT.

Cell: 4.2506 5.1249 5.3759 Å, 76.21 90.00 90.00°
With the nearest neighbours (Å) after each atom.
Sites, in units of the cell vectors:
Te 0.0000 0.4741 0.3619  3 Ir 2.56-2.72
Ir 0.5000 0.2280 0.2006  2 Ir 2.48, 2 Te 2.72
Ba 0.5000 0.8149 0.7554  5 Ir 3.22-3.55
Ir 0.0000 0.9830 0.1821  2 Ir 2.48, 1 Te 2.56

Summary:
The value obtained for the total energy is -23.47 eV for the cell shown.

(3)
Computed, not measured: a geometry-optimized LaH2F structure at the GGA-PBE level of DFT.

Cell: 4.1309 4.1309 7.1727 Å, 90.00 90.00 60.00°
With the nearest neighbours (Å) after each atom.
Sites, in units of the cell vectors:
La 0.6667 0.6667 0.2500  3 F 2.38, 8 H 2.43-2.65
H 0.3333 0.3333 0.4105  1 H 2.30, 1 La 2.43
F 0.0000 0.0000 0.7498  3 La 2.38, 6 H 2.65
H 0.6667 0.6667 0.5895  1 H 2.30, 1 La 2.43
H 0.6667 0.6667 0.9104  1 H 2.30, 1 La 2.44
F 0.0000 0.0000 0.2502  3 La 2.38, 6 H 2.65
La 0.3333 0.3333 0.7500  3 F 2.38, 8 H 2.43-2.65
H 0.3333 0.3333 0.0896  1 H 2.30, 1 La 2.44

Summary:
The value obtained for the total energy is -40.95 eV for the cell shown.

no.,ρ (g/cm³),N(E_F) (states/eV per atom),M_tot (μB per cell)
1,8.73,2.250,6.598
2,9.48,0.837,0.000
3,5.01,0.000,0.000